Below is an optimized crystal structure of CaAlAgAu, with properties calculated at the PBE level.

Calculated values
Energy above the most stable polymorph in this dataset   0 meV/atom
Calculated formation energy   -401 meV/atom

a = 4.2215 Å, b = 4.2215 Å, c = 9.9991 Å
α = 90.00°, β = 90.00°, γ = 90.00°
Space group P4/nmm (No. 129, origin choice 2)
Asymmetric unit:
Ca (0.2500, 0.2500, 0.2383) x2
Al (0.2500, 0.7500, 0.5000) x2
Ag (0.2500, 0.7500, 0.0000) x2
Au (0.2500, 0.2500, 0.6508) x2

---

Below is an optimized crystal structure of CaAg2Br, with properties calculated at the PBE level.

Calculated values
Formation energy (no corrections)   -0.11 eV per atom
Energy above the most stable polymorph in this dataset   461 meV/atom

a = 4.2643 Å, b = 4.2643 Å, c = 21.2255 Å
α = 90.00°, β = 90.00°, γ = 120.00°
Space group R-3m (No. 166, hexagonal axes)
Asymmetric unit:
Ca (0.0000, 0.0000, 0.0000) x3
Ag (0.0000, 0.0000, 0.2451) x6
Br (0.0000, 0.0000, 0.5000) x3

---

Below is an optimized crystal structure of Dy2Ho2Bi3, with properties calculated at the PBE level.

Calculated values
Calculated formation energy   -566 meV/atom

a = 4.4204 Å, b = 7.4384 Å, c = 7.4714 Å
α = 81.44°, β = 89.98°, γ = 72.77°
Space group P-1 (No. 2)
Asymmetric unit:
Dy (0.1174, 0.2660, 0.3904) x2
Ho (0.3774, 0.7454, 0.1413) x2
Bi (0.0000, 0.5000, 0.0000) x1
Bi (0.2592, 0.9810, 0.7513) x2